Record 1
This record from Alexandria describes AlAs2Se after structural relaxation. The functional is GGA-PBE.

Calculated values
V   83.7 Å³/f.u.
Energy   -3.858 eV/atom
DOS at the Fermi energy   4.55 states/eV per cell
ΔE_f (raw)   0.274 eV/atom
Polymorph energy (0 for the lowest one)   537.2 meV/atom

Cell lengths 3.758, 3.758, 11.850 Å; angles 90.00, 90.00, 90.00 degrees
Space group I-4m2 (No. 119)
Unique sites:
Al 0.000 0.000 0.000 [2 per cell]
As 0.000 0.000 0.500 [2 per cell]
As 0.000 0.500 0.750 [2 per cell]
Se 0.000 0.500 0.250 [2 per cell]


Record 2
This record from Alexandria describes AlAs2Se after structural relaxation. The functional is GGA-PBE.

Calculated values
V   83.9 Å³/f.u.
Energy   -4.275 eV/atom
DOS at the Fermi energy   3.00 states/eV per cell
ΔE_f (raw)   -0.143 eV/atom
Polymorph energy (0 for the lowest one)   119.8 meV/atom

Cell lengths 3.772, 5.451, 8.164 Å; angles 90.00, 90.00, 90.00 degrees
Space group Amm2 (No. 38)
Unique sites:
Al 0.000 0.000 0.000 [2 per cell]
As 0.000 0.000 0.482 [2 per cell]
As 0.500 0.000 0.268 [2 per cell]
Se 0.500 0.000 0.789 [2 per cell]


Record 3
This record from Alexandria describes AlAs2Se after structural relaxation. The functional is GGA-PBE.

Calculated values
V   80.4 Å³/f.u.
Energy   -4.263 eV/atom
DOS at the Fermi energy   1.97 states/eV per cell
ΔE_f (raw)   -0.132 eV/atom
Polymorph energy (0 for the lowest one)   131.4 meV/atom

Cell lengths 5.402, 5.402, 5.510 Å; angles 90.00, 90.00, 90.00 degrees
Space group I4/mmm (No. 139)
Unique sites:
Al 0.000 0.000 0.000 [2 per cell]
As 0.000 0.500 0.000 [4 per cell]
Se 0.000 0.000 0.500 [2 per cell]


Record 4
This record from Alexandria describes AlAs2Se after structural relaxation. The functional is GGA-PBE.

Calculated values
V   82.7 Å³/f.u.
Energy   -4.187 eV/atom
DOS at the Fermi energy   1.49 states/eV per cell
ΔE_f (raw)   -0.055 eV/atom
Polymorph energy (0 for the lowest one)   207.7 meV/atom

Cell lengths 4.532, 3.887, 4.970 Å; angles 90.00, 109.13, 90.00 degrees
Space group P2/m (No. 10)
Unique sites:
Al 0.000 0.000 0.000 [1 per cell]
As 0.252 0.500 0.796 [2 per cell]
Se 0.500 0.000 0.500 [1 per cell]